(1)
Here is a relaxed structure of ScTcPb from OQMD via LeMat-Bulk. Energies are from PBE-GGA.

It has space group F-43m (No. 216), with a = 6.519 Å, b = 6.519 Å, c = 6.519 Å, α = 90.00°, β = 90.00° and γ = 90.00°. The asymmetric unit holds Sc at (0.000, 0.000, 0.000), Tc at (0.250, 0.250, 0.250) and Pb at (0.250, 0.250, 0.750).

As for the total magnetization: 0.017 Bohr magnetons per cell. Its density is 8.4 g cm⁻³. The total energy is -73.02 eV/cell.

(2)
Here is a relaxed structure of TmScPb from OQMD via LeMat-Bulk. Energies are from PBE-GGA.

It has space group F-43m (No. 216), with a = 7.216 Å, b = 7.216 Å, c = 7.216 Å, α = 90.00°, β = 90.00° and γ = 90.00°. The asymmetric unit holds Tm at (0.000, 0.000, 0.000), Sc at (0.250, 0.250, 0.250) and Pb at (0.250, 0.250, 0.750).

The value obtained for the energy relative to the lowest polymorph listed for this composition is 503 meV per atom. As for the total magnetization: 7.341 Bohr magnetons per cell. Its density is 7.4 g cm⁻³. The total energy is -53.54 eV/cell.

(3)
Here is a relaxed structure of TmScPb from OQMD via LeMat-Bulk. Energies are from PBE-GGA.

It has space group F-43m (No. 216), with a = 7.055 Å, b = 7.055 Å, c = 7.055 Å, α = 90.00°, β = 90.00° and γ = 90.00°. The asymmetric unit holds Tm at (0.000, 0.000, 0.000), Sc at (0.000, 0.000, 0.500) and Pb at (0.250, 0.250, 0.750).

The value obtained for the energy relative to the lowest polymorph listed for this composition is 0 meV per atom. As for the total magnetization: 3.569 Bohr magnetons per cell. Its density is 8.0 g cm⁻³. The total energy is -59.57 eV/cell.

(4)
Here is a relaxed structure of ScUPb from OQMD via LeMat-Bulk. Energies are from PBE-GGA.

It has space group F-43m (No. 216), with a = 7.050 Å, b = 7.050 Å, c = 7.050 Å, α = 90.00°, β = 90.00° and γ = 90.00°. The asymmetric unit holds Sc at (0.000, 0.000, 0.000), U at (0.250, 0.250, 0.250) and Pb at (0.250, 0.250, 0.750).

The value obtained for the energy relative to the lowest polymorph listed for this composition is 0 meV per atom. As for the total magnetization: 19.614 Bohr magnetons per cell. Its density is 9.3 g cm⁻³. The total energy is -77.44 eV/cell.

(5)
Here is a relaxed structure of ScUPb from OQMD via LeMat-Bulk. Energies are from PBE-GGA.

It has space group F-43m (No. 216), with a = 7.242 Å, b = 7.242 Å, c = 7.242 Å, α = 90.00°, β = 90.00° and γ = 90.00°. The asymmetric unit holds Sc at (0.000, 0.000, 0.000), U at (0.250, 0.250, 0.750) and Pb at (0.000, 0.000, 0.500).

The value obtained for the energy relative to the lowest polymorph listed for this composition is 231 meV per atom. As for the total magnetization: 19.961 Bohr magnetons per cell. Its density is 8.6 g cm⁻³. The total energy is -74.67 eV/cell.

(6)
Here is a relaxed structure of ScZnPb2 from OQMD via LeMat-Bulk. Energies are from PBE-GGA.

It has space group F-43m (No. 216), with a = 7.441 Å, b = 7.441 Å, c = 7.441 Å, α = 90.00°, β = 90.00° and γ = 90.00°. The asymmetric unit holds Sc at (0.000, 0.000, 0.000), Zn at (0.250, 0.250, 0.250), Pb at (0.000, 0.000, 0.500) and Pb at (0.250, 0.250, 0.750).

As for the total magnetization: 0.311 Bohr magnetons per cell. Its density is 8.5 g cm⁻³. The total energy is -58.97 eV/cell.

(7)
Here is a relaxed structure of ScZn2Pb from OQMD via LeMat-Bulk. Energies are from PBE-GGA.

It has space group F-43m (No. 216), with a = 6.912 Å, b = 6.912 Å, c = 6.912 Å, α = 90.00°, β = 90.00° and γ = 90.00°. The asymmetric unit holds Sc at (0.000, 0.000, 0.000), Zn at (0.000, 0.000, 0.500), Zn at (0.250, 0.250, 0.250) and Pb at (0.250, 0.250, 0.750).

As for the total magnetization: 0.002 Bohr magnetons per cell. Its density is 7.7 g cm⁻³. The total energy is -50.09 eV/cell.

(8)
Here is a relaxed structure of TmSiPbSe3 from OQMD via LeMat-Bulk. Energies are from PBE-GGA.

It has space group Cmcm (No. 63), with a = 4.087 Å, b = 15.483 Å, c = 9.862 Å, α = 90.00°, β = 90.00° and γ = 90.00°. The asymmetric unit holds Tm at (0.000, 0.000, 0.000), Si at (0.000, 0.453, 0.250), Pb at (0.000, 0.263, 0.750), Se at (0.000, 0.105, 0.250) and Se at (0.000, 0.368, 0.047).

As for the total magnetization: 0.001 Bohr magnetons per cell. Its density is 6.8 g cm⁻³. The total energy is -111.94 eV/cell.

(9)
Here is a relaxed structure of ZrSiPbSe3 from OQMD via LeMat-Bulk. Energies are from PBE-GGA.

It has space group Cmcm (No. 63), with a = 3.746 Å, b = 16.079 Å, c = 9.338 Å, α = 90.00°, β = 90.00° and γ = 90.00°. The asymmetric unit holds Zr at (0.000, 0.000, 0.000), Si at (0.000, 0.466, 0.250), Pb at (0.000, 0.260, 0.750), Se at (0.000, 0.102, 0.250) and Se at (0.000, 0.370, 0.049).

As for the total magnetization: 0.009 Bohr magnetons per cell. Its density is 6.7 g cm⁻³. The total energy is -123.98 eV/cell.

(10)
Here is a relaxed structure of TbSnPbSe3 from OQMD via LeMat-Bulk. Energies are from PBE-GGA.

It has space group Cmcm (No. 63), with a = 4.010 Å, b = 14.939 Å, c = 11.715 Å, α = 90.00°, β = 90.00° and γ = 90.00°. The asymmetric unit holds Tb at (0.000, 0.000, 0.000), Sn at (0.000, 0.357, 0.250), Pb at (0.000, 0.331, 0.750), Se at (0.000, 0.002, 0.250) and Se at (0.000, 0.365, 0.003).

As for the total magnetization: 0.023 Bohr magnetons per cell. Its density is 6.8 g cm⁻³. The total energy is -112.80 eV/cell.

(11)
Here is a relaxed structure of TaPbSe2 from OQMD via LeMat-Bulk. Energies are from PBE-GGA.

It has space group P6_3mc (No. 186), with a = 3.4688 Å, b = 3.4688 Å, c = 18.4651 Å, α = 90.00°, β = 90.00° and γ = 120.00°. The asymmetric unit holds Ta at (0.3333, 0.6667, 0.0000), Pb at (0.3333, 0.6667, 0.2492), Se at (0.3333, 0.6667, 0.4100) and Se at (0.3333, 0.6667, 0.5907).

As for the total magnetization: 0.001 Bohr magnetons per cell. Its density is 9.4 g cm⁻³. The total energy is -50.17 eV/cell.

(12)
Here is a relaxed structure of TaPbSe2 from OQMD via LeMat-Bulk. Energies are from PBE-GGA.

It has space group P-6m2 (No. 187), with a = 3.4670 Å, b = 3.4670 Å, c = 8.9555 Å, α = 90.00°, β = 90.00° and γ = 120.00°. The asymmetric unit holds Ta at (0.0000, 0.0000, 0.0000), Pb at (0.0000, 0.0000, 0.5000) and Se at (0.6667, 0.3333, 0.1872).

As for the total magnetization: 0.004 Bohr magnetons per cell. Its density is 9.7 g cm⁻³. The total energy is -24.89 eV/cell.

Q: What is the density in the fifth record?
A: 8.6 g cm⁻³